The following is a DFT calculation (GGA-PBE) of a relaxed structure of Tl12Sb3Br5.

The structure in POSCAR format:
```
Tl12Sb3Br5
1.0
16.521 0.000 0.000
-5.507 15.576 0.000
-5.507 -7.788 13.489
Sb Tl Br
12 48 20
Cartesian
6.884 0.974 5.059
12.391 0.000 3.372
4.130 8.762 8.431
9.637 10.709 1.686
1.377 -0.974 5.059
4.130 0.000 10.117
-1.377 6.815 8.431
-4.130 -2.921 11.803
-6.884 7.788 10.117
9.637 4.868 1.686
-4.130 2.921 11.803
1.377 7.788 3.372
3.133 5.811 1.046
-5.330 5.955 12.693
8.437 4.121 4.759
-2.374 0.083 11.255
2.577 10.076 5.555
2.374 1.977 12.444
6.580 -0.997 7.790
6.377 6.958 10.458
7.391 8.642 7.541
-3.623 8.618 10.458
-6.580 4.437 9.776
3.826 6.791 5.699
-2.930 -5.955 12.693
-0.869 0.830 3.032
9.941 -5.434 11.503
11.191 -3.667 8.731
-1.884 -0.854 5.948
7.188 2.354 1.986
-5.887 -0.083 11.255
5.330 2.288 7.934
3.623 1.684 4.510
-1.681 -4.437 9.776
12.087 3.351 3.713
-4.638 6.935 7.541
2.374 -1.894 12.300
4.638 -1.684 4.510
0.869 9.472 8.980
-1.073 8.785 5.699
1.884 6.104 8.980
-1.681 5.434 11.503
-0.380 5.894 1.189
5.887 -1.977 12.444
-2.930 3.667 8.731
7.188 12.225 3.713
9.130 -0.830 3.032
8.437 13.743 0.797
10.837 1.833 0.797
-4.434 13.222 1.986
5.887 1.894 12.300
-0.380 9.765 1.046
2.930 -2.288 7.934
-5.684 11.455 4.759
10.145 0.854 5.948
0.177 5.501 5.555
1.681 0.997 7.790
11.394 7.871 2.235
3.133 9.682 1.189
7.881 7.705 2.235
6.884 3.894 10.117
-2.754 -3.894 6.745
1.377 -3.894 10.117
1.377 4.868 11.803
-1.377 12.656 1.686
2.754 3.894 6.745
-1.377 3.894 3.372
4.130 2.921 1.686
8.261 0.000 0.000
-2.754 7.788 0.000
-1.377 0.974 8.431
0.000 0.000 0.000
6.884 6.815 5.059
5.507 -3.894 6.745
-4.130 8.762 5.059
5.507 7.788 0.000
4.130 11.682 3.372
9.637 -0.974 8.431
-5.507 3.894 6.745
6.884 -4.868 11.803
```

The uncorrected energy is -2.7227 eV per atom. As for the energy relative to the elements, uncorrected: -0.27 eV per atom. The total magnetization comes out at 0.00 μB per formula unit.